CsSm2Fe2O6: optimized geometry, PBE with a Hubbard U.

a = 6.404 Å, b = 6.643 Å, c = 6.716 Å
α = 61.42°, β = 63.70°, γ = 61.76°
Positions (direct):
1 Cs 0.000 0.000 0.000
2 Sm 0.319 0.312 0.053
3 Sm 0.681 0.688 0.947
4 Fe 0.343 0.702 0.543
5 Fe 0.657 0.298 0.457
6 O 0.092 0.567 0.753
7 O 0.385 0.896 0.229
8 O 0.477 0.650 0.769
9 O 0.523 0.350 0.231
10 O 0.615 0.104 0.771
11 O 0.908 0.433 0.247

Calculated values
- symmetry = P-1
- theoretical density (g cm⁻³) = 5.019
- uncorrected energy (eV/atom) = -6.87